# 1
# Li2TlCd | OQMD via LeMat-Bulk | PBE-GGA | optimized geometry
# ρ = 6.928 g/cm³
# total DFT energy (no corrections) = -2.00 eV per atom
# volume = 158.5 Å³/cell
data_Li2TlCd
_chemical_formula_sum 'Li4 Tl2 Cd2'
_symmetry_space_group_name_H-M 'P m m a'
_symmetry_Int_Tables_number 51
_cell_length_a 4.821
_cell_length_b 4.811
_cell_length_c 6.834
_cell_angle_alpha 90.00
_cell_angle_beta 90.00
_cell_angle_gamma 90.00
loop_
_symmetry_equiv_pos_as_xyz
'x,y,z'
'-x,-y,-z'
'-x+1/2,-y,z'
'x+1/2,y,-z'
'x+1/2,-y,-z'
'-x+1/2,y,z'
'-x,y,-z'
'x,-y,z'
loop_
_atom_site_label
_atom_site_type_symbol
_atom_site_fract_x
_atom_site_fract_y
_atom_site_fract_z
Li1 Li 0.250 0.000 0.123
Li2 Li 0.250 0.500 0.372
Tl1 Tl 0.250 0.000 0.636
Cd1 Cd 0.250 0.500 0.886

---

# 2
# Li2TlCd2 | OQMD via LeMat-Bulk | PBE-GGA | optimized geometry
# ρ = 6.993 g/cm³
# total DFT energy (no corrections) = -1.65 eV per atom
# volume = 210.4 Å³/cell
data_Li2TlCd2
_chemical_formula_sum 'Li4 Tl2 Cd4'
_symmetry_space_group_name_H-M 'I 4/m m m'
_symmetry_Int_Tables_number 139
_symmetry_space_group_name_Hall '-I 4 2'
_cell_length_a 4.143
_cell_length_b 4.143
_cell_length_c 12.258
_cell_angle_alpha 90.00
_cell_angle_beta 90.00
_cell_angle_gamma 90.00
loop_
_atom_site_label
_atom_site_type_symbol
_atom_site_fract_x
_atom_site_fract_y
_atom_site_fract_z
Li1 Li 0.000 0.000 0.100
Tl1 Tl 0.000 0.000 0.500
Cd1 Cd 0.000 0.500 0.250

---

# 3
# Li4TlCd3 | OQMD via LeMat-Bulk | PBE-GGA | optimized geometry
# ρ = 6.223 g/cm³
# total DFT energy (no corrections) = -1.83 eV per atom
# volume = 151.9 Å³/cell
data_Li4TlCd3
_chemical_formula_sum 'Li4 Tl1 Cd3'
_symmetry_space_group_name_H-M 'P -4 m 2'
_symmetry_Int_Tables_number 115
_cell_length_a 4.750
_cell_length_b 4.750
_cell_length_c 6.734
_cell_angle_alpha 90.00
_cell_angle_beta 90.00
_cell_angle_gamma 90.00
loop_
_symmetry_equiv_pos_as_xyz
'x,y,z'
'y,-x,-z'
'-x,-y,z'
'-y,x,-z'
'-x,y,z'
'-y,-x,-z'
'x,-y,z'
'y,x,-z'
loop_
_atom_site_label
_atom_site_type_symbol
_atom_site_fract_x
_atom_site_fract_y
_atom_site_fract_z
Li1 Li 0.000 0.000 0.000
Li2 Li 0.000 0.500 0.747
Li3 Li 0.500 0.500 0.500
Tl1 Tl 0.500 0.500 0.000
Cd1 Cd 0.000 0.000 0.500
Cd2 Cd 0.000 0.500 0.258

---

# 4
# Li2TlCd | OQMD via LeMat-Bulk | PBE-GGA | optimized geometry
# ρ = 6.888 g/cm³
# total DFT energy (no corrections) = -1.96 eV per atom
# volume = 318.9 Å³/cell
data_Li2TlCd
_chemical_formula_sum 'Li8 Tl4 Cd4'
_symmetry_space_group_name_H-M 'C m c m'
_symmetry_Int_Tables_number 63
_symmetry_space_group_name_Hall '-C 2c 2'
_cell_length_a 3.184
_cell_length_b 13.731
_cell_length_c 7.295
_cell_angle_alpha 90.00
_cell_angle_beta 90.00
_cell_angle_gamma 90.00
loop_
_atom_site_label
_atom_site_type_symbol
_atom_site_fract_x
_atom_site_fract_y
_atom_site_fract_z
Li1 Li 0.000 0.105 0.052
Tl1 Tl 0.000 0.247 0.750
Cd1 Cd 0.000 0.465 0.250

---

# 5
# Li2TlCd | OQMD via LeMat-Bulk | PBE-GGA | optimized geometry
# ρ = 6.206 g/cm³
# total DFT energy (no corrections) = -1.89 eV per atom
# volume = 177.0 Å³/cell
data_Li2TlCd
_chemical_formula_sum 'Li4 Tl2 Cd2'
_symmetry_space_group_name_H-M 'P 63/m m c'
_symmetry_Int_Tables_number 194
_symmetry_space_group_name_Hall '-P 6c 2c'
_cell_length_a 4.9105
_cell_length_b 4.9105
_cell_length_c 8.4741
_cell_angle_alpha 90.00
_cell_angle_beta 90.00
_cell_angle_gamma 120.00
loop_
_atom_site_label
_atom_site_type_symbol
_atom_site_fract_x
_atom_site_fract_y
_atom_site_fract_z
Li1 Li 0.3333 0.6667 0.0877
Tl1 Tl 0.0000 0.0000 0.2500
Cd1 Cd 0.3333 0.6667 0.7500

---

# 6
# Li2TlCd | OQMD via LeMat-Bulk | PBE-GGA | optimized geometry
# ρ = 6.663 g/cm³
# total DFT energy (no corrections) = -1.92 eV per atom
# volume = 329.6 Å³/cell
data_Li2TlCd
_chemical_formula_sum 'Li8 Tl4 Cd4'
_symmetry_space_group_name_H-M 'P n m a'
_symmetry_Int_Tables_number 62
_cell_length_a 7.349
_cell_length_b 3.387
_cell_length_c 13.245
_cell_angle_alpha 90.00
_cell_angle_beta 90.00
_cell_angle_gamma 90.00
loop_
_symmetry_equiv_pos_as_xyz
'x,y,z'
'-x,-y,-z'
'-x+1/2,-y,z+1/2'
'x+1/2,y,-z+1/2'
'x+1/2,-y+1/2,-z+1/2'
'-x+1/2,y+1/2,z+1/2'
'-x,y+1/2,-z'
'x,-y+1/2,z'
loop_
_atom_site_label
_atom_site_type_symbol
_atom_site_fract_x
_atom_site_fract_y
_atom_site_fract_z
Li1 Li 0.102 0.250 0.199
Li2 Li 0.157 0.750 0.017
Tl1 Tl 0.056 0.750 0.606
Cd1 Cd 0.193 0.250 0.847

---

> Which value of total DFT energy (no corrections) does entry 2 give?

-1.65 eV per atom